Mg2FePb (PBE-GGA, optimized geometry); DFT formation energy = 0.26 eV/atom; density = 6.35 g/cm³
1.0
3.4702 0.0000 0.0000
0.0000 3.4702 0.0000
0.0000 0.0000 6.7658
Mg Fe Pb
2 1 1
direct
0.0000 0.0000 0.0000
0.5000 0.5000 0.2630
0.5000 0.5000 0.8132
0.0000 0.0000 0.5642



Na2Te2Br7 (PBE-GGA, optimized geometry); uncorrected formation energy = -6.7 eV/f.u.; density = 3.37 g/cm³
1.0
4.6481 -5.9682 0.0000
4.6481 5.9682 0.0000
-1.1109 0.0000 7.6424
Na Te Br
2 2 7
direct
0.2061 0.7939 0.0000
0.7939 0.2061 0.0000
0.2068 0.2068 0.5456
0.7932 0.7932 0.4544
0.0710 0.4174 0.7948
0.1510 0.1510 0.1955
0.4174 0.0710 0.7948
0.5000 0.5000 0.5000
0.5826 0.9290 0.2052
0.8490 0.8490 0.8045
0.9290 0.5826 0.2052



Y2ReBr (PBE-GGA, optimized geometry); relative energy among the computed polymorphs = 0.307 eV per atom; uncorrected formation energy = -0.7 eV/f.u.; density = 8.03 g/cm³
1.0
4.8846 0.0000 0.0000
0.0000 1.7426 5.3916
0.0000 -1.7426 5.3916
Y Re Br
2 1 1
direct
0.0000 0.0000 0.0000
0.5000 0.2767 0.2767
0.5000 0.5334 0.5334
0.0000 0.7308 0.7308



RbZrCr2 (PBE-GGA, optimized geometry); relative energy among the computed polymorphs = 0.167 eV per atom; DFT formation energy = 1.61 eV/atom; density = 3.42 g/cm³
1.0
-2.7387 2.7387 9.0749
2.7387 -2.7387 9.0749
2.7387 2.7387 -9.0749
Rb Zr Cr
2 2 4
direct
0.3750 0.6250 0.7500
0.6250 0.3750 0.2500
0.1250 0.8750 0.2500
0.8750 0.1250 0.7500
0.0000 0.0000 0.0000
0.0000 0.0000 0.5000
0.0000 0.5000 0.0000
0.5000 0.0000 0.5000



CeSm4Ho5 (PBE-GGA, optimized geometry); relative energy among the computed polymorphs = 0.003 eV per atom; DFT formation energy = 0.26 eV/atom; density = 7.77 g/cm³
1.0
7.6031 -2.9087 0.0000
7.6031 2.9087 0.0000
-6.1757 0.0000 7.5697
Ce Sm Ho
1 4 5
direct
0.0000 0.0000 0.0000
0.2470 0.2470 0.1768
0.2667 0.2667 0.6018
0.7333 0.7333 0.3982
0.7530 0.7530 0.8232
0.0781 0.0781 0.7307
0.4144 0.4144 0.0677
0.5000 0.5000 0.5000
0.5856 0.5856 0.9323
0.9219 0.9219 0.2693



La3Pr4Ho3 (PBE-GGA, optimized geometry); DFT formation energy = 0.09 eV/atom; density = 6.86 g/cm³
1.0
3.8674 0.0000 0.0000
0.0000 6.8150 6.7695
0.0000 -6.8150 6.7695
La Pr Ho
3 4 3
direct
0.0000 0.0000 0.0000
0.5000 0.1729 0.6623
0.5000 0.6623 0.1729
0.5000 0.0420 0.3024
0.5000 0.3024 0.0420
0.5000 0.5408 0.5408
0.5000 0.7952 0.7952
0.0000 0.3391 0.3391
0.0000 0.4990 0.8365
0.0000 0.8365 0.4990



Nb2Ir2Pt (PBE-GGA, optimized geometry); relative energy among the computed polymorphs = 0.207 eV per atom; DFT formation energy = -0.25 eV/atom; density = 14.78 g/cm³
1.0
7.7504 0.0000 0.0000
0.0000 7.7504 0.0000
0.0000 0.0000 2.8628
Nb Ir Pt
4 4 2
direct
0.1601 0.3399 0.0000
0.3399 0.8399 0.0000
0.6601 0.1601 0.0000
0.8399 0.6601 0.0000
0.1332 0.6332 0.5000
0.3668 0.1332 0.5000
0.6332 0.8668 0.5000
0.8668 0.3668 0.5000
0.0000 0.0000 0.0000
0.5000 0.5000 0.0000



VSiTc (PBE-GGA, optimized geometry); relative energy among the computed polymorphs = 0.054 eV per atom; uncorrected formation energy = -1.4 eV/f.u.; density = 7.39 g/cm³
1.0
4.2579 0.0000 0.0000
-2.1290 3.6875 0.0000
0.0000 0.0000 5.0671
V Si Tc
2 2 2
direct
0.0000 0.0000 0.0000
0.0000 0.0000 0.5000
0.3333 0.6667 0.3072
0.6667 0.3333 0.6928
0.3333 0.6667 0.8064
0.6667 0.3333 0.1936



Nb3MoRu (PBE-GGA, optimized geometry); relative energy among the computed polymorphs = 1.541 eV per atom; DFT formation energy = 1.32 eV/atom; density = 7.39 g/cm³
1.0
4.7470 0.0000 0.0000
0.0000 4.7470 0.0000
0.0000 0.0000 4.7470
Nb Mo Ru
3 1 1
direct
0.0000 0.0000 0.5000
0.0000 0.5000 0.0000
0.5000 0.0000 0.0000
0.5000 0.5000 0.5000
0.0000 0.0000 0.0000



BeF4 (PBE-GGA, optimized geometry); relative energy among the computed polymorphs = 0.000 eV per atom; uncorrected formation energy = -9.2 eV/f.u.; density = 1.75 g/cm³
1.0
2.2009 -6.3403 0.0000
2.2009 6.3403 0.0000
-0.2960 0.0000 5.7654
Be F
2 8
direct
0.2496 0.7504 0.0000
0.7504 0.2496 0.0000
0.0727 0.4483 0.1412
0.0845 0.0845 0.7785
0.3751 0.3751 0.6791
0.4483 0.0727 0.1412
0.5517 0.9273 0.8588
0.6249 0.6249 0.3209
0.9155 0.9155 0.2215
0.9273 0.5517 0.8588



Rb2InC (PBE-GGA, optimized geometry); relative energy among the computed polymorphs = 0.000 eV per atom; DFT formation energy = 0.79 eV/atom; density = 2.74 g/cm³
1.0
-6.5256 6.5256 2.1172
6.5256 -6.5256 2.1172
6.5256 6.5256 -2.1172
Rb In C
4 2 2
direct
0.3750 0.1685 0.2935
0.8315 0.1250 0.2065
0.8750 0.0815 0.7065
0.9185 0.6250 0.7935
0.2500 0.7500 0.5000
0.5000 0.5000 0.0000
0.0000 0.0000 0.0000
0.7500 0.2500 0.5000



NaAg6Sn2 (PBE-GGA, optimized geometry); DFT formation energy = 0.08 eV/atom; density = 6.98 g/cm³
1.0
5.7520 0.0000 0.0000
-2.8760 4.9814 0.0000
0.0000 0.0000 7.5389
Na Ag Sn
1 6 2
direct
0.0000 0.0000 0.0000
0.0000 0.5000 0.1828
0.0000 0.5000 0.8172
0.5000 0.0000 0.1828
0.5000 0.0000 0.8172
0.5000 0.5000 0.1828
0.5000 0.5000 0.8172
0.3333 0.6667 0.5000
0.6667 0.3333 0.5000



RbPaCrS4 (PBE-GGA, optimized geometry); uncorrected formation energy = -7.8 eV/f.u.; density = 4.46 g/cm³
1.0
-4.3525 4.4541 4.7711
4.3525 -4.4541 4.7711
4.3525 4.4541 -4.7711
Rb Pa Cr S
2 2 2 8
direct
0.3996 0.1496 0.2500
0.6004 0.8504 0.7500
0.0000 0.0000 0.5000
0.0000 0.5000 0.0000
0.0000 0.5000 0.5000
0.5000 0.5000 0.0000
0.1819 0.2482 0.9337
0.1855 0.7518 0.4337
0.2639 0.3343 0.5704
0.2639 0.6934 0.9296
0.7361 0.3066 0.0704
0.7361 0.6657 0.4296
0.8145 0.2482 0.5663
0.8181 0.7518 0.0663



ThNpGa5Ir2 (PBE-GGA, optimized geometry); DFT formation energy = -0.14 eV/atom; density = 11.03 g/cm³
1.0
4.8129 0.0000 0.0000
0.0000 4.8129 0.0000
0.0000 0.0000 7.8105
Th Np Ga Ir
1 1 5 2
direct
0.0000 0.0000 0.0000
0.0000 0.0000 0.5000
0.0000 0.5000 0.2606
0.0000 0.5000 0.7394
0.5000 0.0000 0.2606
0.5000 0.0000 0.7394
0.5000 0.5000 0.0000
0.5000 0.5000 0.3251
0.5000 0.5000 0.6749



Pm4Pr7Dy (PBE-GGA, optimized geometry); relative energy among the computed polymorphs = 0.000 eV per atom; DFT formation energy = 0.01 eV/atom; density = 6.77 g/cm³
1.0
6.4203 0.0000 0.0000
0.0117 7.3976 0.0000
2.1515 0.0038 8.9337
Pm Pr Dy
4 7 1
direct
0.2213 0.0003 0.3330
0.2783 0.7498 0.6697
0.7217 0.2502 0.3303
0.7787 0.9997 0.6670
0.0000 0.0000 0.0000
0.2202 0.5003 0.3322
0.2796 0.2502 0.6686
0.5003 0.2504 0.0008
0.4997 0.7496 0.9992
0.7204 0.7498 0.3314
0.7798 0.4997 0.6678
0.0000 0.5000 0.0000



ZnSe2Cl (PBE-GGA, optimized geometry); relative energy among the computed polymorphs = 0.396 eV per atom; uncorrected formation energy = 0.1 eV/f.u.; density = 4.96 g/cm³
1.0
1.9454 1.1232 6.6070
-1.9454 1.1232 6.6070
0.0000 -2.2464 6.6070
Zn Se Cl
1 2 1
direct
0.0000 0.0000 0.0000
0.2689 0.2689 0.2689
0.7311 0.7311 0.7311
0.5000 0.5000 0.5000



LiPtAuF2 (PBE-GGA, optimized geometry); uncorrected formation energy = -1.7 eV/f.u.; density = 7.54 g/cm³
1.0
4.2526 0.0000 0.0000
0.0000 4.2526 0.0000
0.0000 0.0000 5.3181
Li Pt Au F
1 1 1 2
direct
0.0000 0.0000 0.0000
0.5000 0.5000 0.0000
0.5000 0.5000 0.5000
0.0000 0.5000 0.5000
0.5000 0.0000 0.5000



Ca2MnAl (PBE-GGA, optimized geometry); DFT formation energy = 0.51 eV/atom; density = 2.49 g/cm³
1.0
-4.1437 4.1437 3.1525
4.1437 -4.1437 3.1525
4.1437 4.1437 -3.1525
Ca Mn Al
4 2 2
direct
0.1190 0.6250 0.9940
0.3750 0.3690 0.4940
0.6310 0.1250 0.0060
0.8750 0.8810 0.5060
0.0000 0.0000 0.0000
0.7500 0.2500 0.5000
0.2500 0.7500 0.5000
0.5000 0.5000 0.0000



PmPuSnIr (PBE-GGA, optimized geometry); DFT formation energy = -0.33 eV/atom; density = 11.96 g/cm³
1.0
0.0000 3.6495 3.6495
3.6495 0.0000 3.6495
3.6495 3.6495 0.0000
Pm Pu Sn Ir
1 1 1 1
direct
0.0000 0.0000 0.0000
0.5000 0.5000 0.5000
0.2500 0.2500 0.2500
0.7500 0.7500 0.7500



| no. | M_tot (μB/f.u.) | DOS(E_F) (states/eV/f.u.) |
| --- | --- | --- |
| 1 | 2.38 | 2.9 |
| 2 | 0.00 | 4.2 |
| 3 | 0.00 | 1.3 |
| 4 | 6.93 | 5.1 |
| 5 | 1.22 | 20.1 |
| 6 | 0.00 | 12.8 |
| 7 | 0.00 | 3.4 |
| 8 | 0.00 | 2.3 |
| 9 | 1.33 | 8.2 |
| 10 | 0.00 | 0.0 |
| 11 | 0.00 | 2.2 |
| 12 | 0.00 | 2.5 |
| 13 | 4.01 | 3.0 |
| 14 | 4.55 | 12.0 |
| 15 | 0.00 | 17.8 |
| 16 | 0.00 | 3.6 |
| 17 | 0.29 | 5.0 |
| 18 | 3.84 | 3.7 |
| 19 | 5.02 | 8.8 |